Entry from Alexandria: a crystal of LiReSi2 relaxed with PBEsol (meta-GGA SCAN).

Properties
polymorph energy (0 for the lowest one) = 90 meV per atom
E_form (uncorrected) = -56 meV/atom

abc: 4.1721 4.1721 4.1721
angles: 60.00 60.00 60.00
Last column: nearest neighbours and their distance in Å.
Sites, in units of the cell vectors:
Si  0.2500  0.2500  0.2500  4 Re 2.55, 4 Li 2.55
Re  0.5000  0.5000  0.5000  8 Si 2.55
Li  0.0000  0.0000  0.0000  8 Si 2.55
Si  0.7500  0.7500  0.7500  4 Re 2.55, 4 Li 2.55

---

Entry from Alexandria: a crystal of Y4Ru relaxed with PBEsol (meta-GGA SCAN).

Properties
calculated formation energy = 0.1340 eV per atom

abc: 5.7103 5.7103 5.7103
angles: 109.47 109.47 109.47
Last column: nearest neighbours and their distance in Å.
Sites, in units of the cell vectors:
Y  0.0000  0.5000  0.0000  2 Ru 2.86
Y  0.0000  0.0000  0.5000  2 Ru 2.86
Y  0.5000  0.0000  0.0000  2 Ru 2.86
Y  0.5000  0.5000  0.5000  2 Ru 2.86
Ru  0.0000  0.0000  0.0000  8 Y 2.86

---

Entry from Alexandria: a crystal of Hf3PRu relaxed with PBEsol (meta-GGA SCAN).

Properties
calculated formation energy = 0.3165 eV per atom

abc: 4.8557 4.8557 4.8557
angles: 90.00 90.00 90.00
Last column: nearest neighbours and their distance in Å.
Sites, in units of the cell vectors:
Hf  0.0000  0.0000  0.5000  2 Ru 2.43
Hf  0.5000  0.0000  0.0000  2 Ru 2.43
Hf  0.0000  0.5000  0.0000  2 Ru 2.43
Ru  0.0000  0.0000  0.0000  6 Hf 2.43
P  0.5000  0.5000  0.5000  12 Hf 3.43

---

Entry from Alexandria: a crystal of CaPdS2 relaxed with PBEsol (meta-GGA SCAN).

Properties
E_form (uncorrected) = -704 meV/atom

abc: 3.8103 3.8103 7.9922
angles: 76.21 76.21 60.00
Last column: nearest neighbours and their distance in Å.
Sites, in units of the cell vectors:
Pd  0.0000  0.0000  0.0000  2 S 2.20
S  0.0955  0.0955  0.7136  1 Pd 2.20
S  0.9045  0.9045  0.2864  1 Pd 2.20
Ca  0.5000  0.5000  0.5000  6 S 2.74

---

Entry from Alexandria: a crystal of InCu6ClO8 relaxed with PBEsol (meta-GGA SCAN).

Properties
E_form (uncorrected) = -962 meV/atom

abc: 6.4139 6.4139 6.4139
angles: 60.00 60.00 60.00
Last column: nearest neighbours and their distance in Å.
Sites, in units of the cell vectors:
O  0.8570  0.8570  0.4291  3 Cu 1.89
Cu  0.5000  0.0000  0.5000  4 O 1.89
O  0.1430  0.1430  0.1430  3 Cu 1.89
Cu  0.0000  0.5000  0.0000  4 O 1.89
Cu  0.0000  0.5000  0.5000  4 O 1.89
Cu  0.5000  0.0000  0.0000  4 O 1.89
Cl  0.5000  0.5000  0.5000  12 Cu 3.21
Cu  0.5000  0.5000  0.0000  4 O 1.89
O  0.5709  0.1430  0.1430  3 Cu 1.89
O  0.8570  0.8570  0.8570  3 Cu 1.89
O  0.8570  0.4291  0.8570  3 Cu 1.89
O  0.4291  0.8570  0.8570  3 Cu 1.89
O  0.1430  0.5709  0.1430  3 Cu 1.89
O  0.1430  0.1430  0.5709  3 Cu 1.89
Cu  0.0000  0.0000  0.5000  4 O 1.89
In  0.0000  0.0000  0.0000  8 O 2.25

---

Entry from Alexandria: a crystal of MgRe2Hg relaxed with PBEsol (meta-GGA SCAN).

Properties
polymorph energy (0 for the lowest one) = 174 meV per atom
calculated formation energy = 0.6440 eV per atom

abc: 2.7115 2.7115 9.3668
angles: 90.00 90.00 108.00
Last column: nearest neighbours and their distance in Å.
Sites, in units of the cell vectors:
Re  0.0000  0.0000  0.2429  4 Re 2.71, 2 Mg 2.78, 2 Hg 2.89
Hg  0.5000  0.5000  0.5000  4 Hg 2.71, 4 Re 2.89
Re  0.0000  0.0000  0.7571  4 Re 2.71, 2 Mg 2.78, 2 Hg 2.89
Mg  0.5000  0.5000  0.0000  4 Mg 2.71, 4 Re 2.78

---

Entry from Alexandria: a crystal of LiZr2Pb relaxed with PBEsol (meta-GGA SCAN).

Properties
calculated formation energy = -0.1297 eV per atom

abc: 4.2364 4.2364 5.5252
angles: 112.54 112.54 90.00
Last column: nearest neighbours and their distance in Å.
Sites, in units of the cell vectors:
Zr  0.0000  0.0000  0.0000  4 Li 3.00, 4 Zr 3.14, 4 Pb 3.14
Pb  0.2500  0.7500  0.5000  8 Zr 3.00-3.14, 4 Li 3.14
Zr  0.7500  0.2500  0.5000  4 Pb 3.00, 4 Zr 3.14, 4 Li 3.14
Li  0.5000  0.5000  0.0000  8 Zr 3.00-3.14, 4 Pb 3.14

---

Entry from Alexandria: a crystal of TiSbOsC2 relaxed with PBEsol (meta-GGA SCAN).

Properties
E_form (uncorrected) = 2591 meV/atom

abc: 4.0877 4.0877 5.0437
angles: 90.00 90.00 90.00
Last column: nearest neighbours and their distance in Å.
Sites, in units of the cell vectors:
Os  0.0000  0.0000  0.5000  2 Sb 2.52
C  0.5000  0.0000  0.0000  2 Sb 2.04
C  0.0000  0.5000  0.0000  2 Sb 2.04
Ti  0.5000  0.5000  0.5000  4 Os 2.89
Sb  0.0000  0.0000  0.0000  4 C 2.04

---

Entry from Alexandria: a crystal of YAg3N relaxed with PBEsol (meta-GGA SCAN).

Properties
E_form (uncorrected) = 1865 meV/atom

abc: 5.5814 5.5814 5.5814
angles: 90.00 90.00 90.00
Last column: nearest neighbours and their distance in Å.
Sites, in units of the cell vectors:
Ag  0.5000  0.0000  0.0000  2 Y 2.79
Y  0.0000  0.0000  0.0000  6 Ag 2.79
N  0.5000  0.5000  0.5000  12 Ag 3.95
Ag  0.0000  0.0000  0.5000  2 Y 2.79
Ag  0.0000  0.5000  0.0000  2 Y 2.79

---

Entry from Alexandria: a crystal of Ca2GePd3 relaxed with PBEsol (meta-GGA SCAN).

Properties
calculated formation energy = -0.8569 eV per atom

abc: 5.1954 5.1954 5.1954
angles: 64.64 64.64 64.64
Last column: nearest neighbours and their distance in Å.
Sites, in units of the cell vectors:
Ge  0.5000  0.5000  0.5000  6 Pd 2.60
Ca  0.1274  0.1274  0.1274  9 Pd 2.99-3.19, 4 Ca 3.12-3.35, 3 Ge 3.24
Pd  0.0000  0.5000  0.5000  2 Ge 2.60, 4 Pd 2.78
Ca  0.8726  0.8726  0.8726  9 Pd 2.99-3.19, 4 Ca 3.12-3.35, 3 Ge 3.24
Pd  0.5000  0.0000  0.5000  2 Ge 2.60, 4 Pd 2.78
Pd  0.5000  0.5000  0.0000  2 Ge 2.60, 4 Pd 2.78

---

Entry from Alexandria: a crystal of CaLaMn2Tl relaxed with PBEsol (meta-GGA SCAN).

Properties
calculated formation energy = 0.6079 eV per atom

abc: 4.9498 4.9498 5.5103
angles: 90.00 90.00 90.00
Last column: nearest neighbours and their distance in Å.
Sites, in units of the cell vectors:
La  0.5000  0.5000  0.5000  4 Tl 3.50, 8 Mn 3.70
Tl  0.0000  0.0000  0.5000  2 Ca 2.76
Ca  0.0000  0.0000  0.0000  4 Mn 2.47, 2 Tl 2.76
Mn  0.5000  0.0000  0.0000  2 Ca 2.47
Mn  0.0000  0.5000  0.0000  2 Ca 2.47

---

Entry from Alexandria: a crystal of CoCuRu relaxed with PBEsol (meta-GGA SCAN).

Properties
polymorph energy (0 for the lowest one) = 281 meV per atom
calculated formation energy = 0.6316 eV per atom

abc: 3.8202 3.8202 3.8202
angles: 60.00 60.00 60.00
Last column: nearest neighbours and their distance in Å.
Sites, in units of the cell vectors:
Cu  0.0000  0.0000  0.0000  4 Co 2.34
Ru  0.5000  0.5000  0.5000  4 Co 2.34
Co  0.2500  0.2500  0.2500  4 Ru 2.34, 4 Cu 2.34